(1)
Computed, not measured: a relaxed structure of LaY2Ge2 at the PBE-GGA level of DFT.

Computed properties:
Energy of formation in eV/f.u.: -1.9

a b c (Å): 5.3251 5.3251 10.7267
angles (deg): 90.00 90.00 90.00
Closest atoms and distances in Å follow each position.
Space group I4/mmm (No. 139)
Symmetry-distinct sites (fractional):
La 0.0000 0.0000 0.0000 (multiplicity 2)  2 Y 3.57, 8 Ge 3.78
Y 0.0000 0.0000 0.3326 (multiplicity 4)  4 Ge 2.81
Ge 0.0000 0.5000 0.2500 (multiplicity 4)  4 Y 2.81

***

(2)
Computed, not measured: a relaxed structure of LaYGe2 at the PBE-GGA level of DFT.

Computed properties:
Energy of formation in eV/f.u.: -3.4

a b c (Å): 4.0749 5.9655 8.2613
angles (deg): 90.00 90.00 90.00
Closest atoms and distances in Å follow each position.
Space group Pmc2_1 (No. 26)
Symmetry-distinct sites (fractional):
La 0.0000 0.1319 0.0000 (multiplicity 2)  7 Ge 3.06-3.35
Y 0.5000 0.3700 0.6366 (multiplicity 2)  7 Ge 3.07-3.30
Ge 0.0000 0.3936 0.3584 (multiplicity 2)  2 Ge 2.69
Ge 0.5000 0.1187 0.2812 (multiplicity 2)  2 Ge 2.69

***

(3)
Computed, not measured: a relaxed structure of LaYGe2 at the PBE-GGA level of DFT.

Computed properties:
Energy of formation in eV/f.u.: -0.6

a b c (Å): 5.0421 5.0421 19.2277
angles (deg): 90.00 90.00 90.00
Closest atoms and distances in Å follow each position.
Space group I-42d (No. 122)
Symmetry-distinct sites (fractional):
La 0.0000 0.0000 0.0000 (multiplicity 4)  4 Ge 3.27, 4 Y 3.57
Y 0.0000 0.0000 0.5000 (multiplicity 4)  4 Ge 2.80
Ge 0.1374 0.2500 0.6250 (multiplicity 8)  2 Y 2.80, 2 Ge 2.88

***

(4)
Computed, not measured: a relaxed structure of La2YGe2 at the PBE-GGA level of DFT.

Computed properties:
Energy of formation in eV/f.u.: -0.9

a b c (Å): 5.3369 5.3369 10.6536
angles (deg): 90.00 90.00 90.00
Closest atoms and distances in Å follow each position.
Space group I4/mmm (No. 139)
Symmetry-distinct sites (fractional):
La 0.0000 0.0000 0.1429 (multiplicity 4)  4 Ge 2.90, 1 La 3.05
Y 0.0000 0.0000 0.5000 (multiplicity 2)  8 Ge 3.77, 10 La 3.80-4.07
Ge 0.0000 0.5000 0.2500 (multiplicity 4)  4 La 2.90